P:
FeCo2Cl | PBE | optimized geometry

a = 2.9129 Å, b = 3.0165 Å, c = 6.4344 Å
α = 90.00°, β = 90.00°, γ = 90.00°
Element x y z (fractional)
Co1 0.0000 0.7499 0.0499
Co2 0.0000 0.7501 0.4501
Fe1 0.5000 0.2500 0.2500
Cl1 0.5000 0.7500 0.7500


Q:
FeCo2Cl | PBE | optimized geometry

a = 6.6335 Å, b = 6.6335 Å, c = 2.9617 Å
α = 102.84°, β = 102.84°, γ = 25.79°
Element x y z (fractional)
Co1 0.0407 0.0407 0.9155
Co2 0.8343 0.8343 0.7099
Fe1 0.4375 0.4375 0.3130
Cl1 0.1875 0.1875 0.5617


Stability, highest: Q


P:
FeCo2Cl | PBE | optimized geometry

a = 2.9328 Å, b = 3.0812 Å, c = 6.4333 Å
α = 89.98°, β = 90.00°, γ = 90.00°
Element x y z (fractional)
Co1 0.0000 0.7502 0.0638
Co2 0.5000 0.2500 0.2410
Fe1 0.0000 0.7496 0.4458
Cl1 0.5000 0.7502 0.7494


Q:
FeCo2Cl | PBE | optimized geometry

a = 2.7955 Å, b = 2.7955 Å, c = 7.6524 Å
α = 90.00°, β = 90.00°, γ = 115.81°
Element x y z (fractional)
Co1 0.0000 0.0000 0.0092
Co2 0.0000 0.0000 0.4908
Fe1 0.5000 0.5000 0.2500
Cl1 0.5000 0.5000 0.7500


Stability, highest: P


P:
Fe2CoCl | PBE | optimized geometry

a = 4.2013 Å, b = 4.2013 Å, c = 4.2013 Å
α = 60.00°, β = 60.00°, γ = 60.00°
Element x y z (fractional)
Co1 0.7500 0.7500 0.7500
Fe1 0.0000 0.0000 0.0000
Fe2 0.2500 0.2500 0.2500
Cl1 0.5000 0.5000 0.5000


Q:
Fe2CoCl | PBE | optimized geometry

a = 7.8293 Å, b = 7.8293 Å, c = 7.8293 Å
α = 21.12°, β = 21.12°, γ = 21.12°
Element x y z (fractional)
Co1 0.7434 0.7434 0.7434
Fe1 0.0014 0.0014 0.0014
Fe2 0.2496 0.2496 0.2496
Cl1 0.5057 0.5057 0.5057


Stability, highest: Q


P:
Fe2CoCl | PBE | optimized geometry

a = 2.8019 Å, b = 2.8019 Å, c = 7.7318 Å
α = 90.00°, β = 90.00°, γ = 114.43°
Element x y z (fractional)
Co1 0.5000 0.5000 0.7649
Fe1 0.0000 0.0000 0.9966
Fe2 0.5000 0.5000 0.2470
Cl1 0.0000 0.0000 0.4915


Q:
Fe2CoCl | PBE | optimized geometry

a = 2.8882 Å, b = 3.1055 Å, c = 6.5786 Å
α = 89.98°, β = 90.00°, γ = 90.00°
Element x y z (fractional)
Co1 0.5000 0.7500 0.7500
Fe1 0.0000 0.2498 0.9447
Fe2 0.0000 0.2502 0.5553
Cl1 0.5000 0.2500 0.2500


R:
Fe2CoCl | PBE | optimized geometry

a = 4.4003 Å, b = 4.4003 Å, c = 4.5365 Å
α = 84.91°, β = 84.91°, γ = 37.96°
Element x y z (fractional)
Co1 0.7500 0.7500 0.7500
Fe1 0.0110 0.0110 0.9728
Fe2 0.4890 0.4890 0.5272
Cl1 0.2500 0.2500 0.2500


Stability, highest: Q


P:
FeCoCl | PBE | optimized geometry

a = 5.5040 Å, b = 5.5040 Å, c = 5.5040 Å
α = 149.35°, β = 149.35°, γ = 43.89°
Element x y z (fractional)
Co1 0.3150 0.3150 0.0000
Fe1 0.6833 0.6833 0.0000
Cl1 0.0017 0.0017 0.0000


Q:
FeCoCl | PBE | optimized geometry

a = 6.1547 Å, b = 5.8344 Å, c = 2.9826 Å
α = 81.65°, β = 69.70°, γ = 28.65°
Element x y z (fractional)
Co1 0.3199 0.3199 0.6801
Fe1 0.6768 0.6768 0.3232
Cl1 0.0033 0.0033 0.9967


R:
FeCoCl | PBE | optimized geometry

a = 4.0007 Å, b = 4.0007 Å, c = 2.8872 Å
α = 90.00°, β = 90.00°, γ = 120.00°
Element x y z (fractional)
Co1 0.6667 0.3333 0.1679
Fe1 0.3333 0.6667 0.6678
Cl1 0.0000 0.0000 0.1643


S:
FeCoCl | PBE | optimized geometry

a = 3.0705 Å, b = 3.0705 Å, c = 5.4890 Å
α = 90.00°, β = 90.00°, γ = 120.00°
Element x y z (fractional)
Co1 0.3333 0.6667 0.3703
Fe1 0.6667 0.3333 0.6485
Cl1 0.0000 0.0000 0.9812


Stability, highest: S


P:
FeCo3Cl | PBE | optimized geometry

a = 4.0679 Å, b = 4.0679 Å, c = 4.0679 Å
α = 90.00°, β = 90.00°, γ = 90.00°
Element x y z (fractional)
Co1 0.0000 0.5000 0.0000
Co2 0.0000 0.0000 0.5000
Co3 0.5000 0.0000 0.0000
Fe1 0.5000 0.5000 0.5000
Cl1 0.0000 0.0000 0.0000


Q:
FeCo3Cl | PBE | optimized geometry

a = 4.4171 Å, b = 4.4171 Å, c = 4.4171 Å
α = 90.00°, β = 90.00°, γ = 90.00°
Element x y z (fractional)
Co1 0.0000 0.5000 0.0000
Co2 0.0000 0.0000 0.5000
Co3 0.5000 0.0000 0.0000
Fe1 0.0000 0.0000 0.0000
Cl1 0.5000 0.5000 0.5000


Stability, highest: P


P:
FeCoS2Cl | PBE | optimized geometry

a = 4.4217 Å, b = 4.4217 Å, c = 4.5764 Å
α = 90.00°, β = 90.00°, γ = 90.00°
Element x y z (fractional)
S1 0.0000 0.5000 0.0000
S2 0.5000 0.0000 0.0000
Co1 0.0000 0.0000 0.0000
Fe1 0.5000 0.5000 0.5000
Cl1 0.0000 0.0000 0.5000


Q:
FeCoS2Cl | PBE | optimized geometry

a = 4.3246 Å, b = 4.3246 Å, c = 4.8327 Å
α = 90.00°, β = 90.00°, γ = 90.00°
Element x y z (fractional)
S1 0.0000 0.5000 0.0000
S2 0.5000 0.0000 0.0000
Co1 0.5000 0.5000 0.5000
Fe1 0.0000 0.0000 0.0000
Cl1 0.0000 0.0000 0.5000


Stability, highest: P


P:
FeCoSCl2 | PBE | optimized geometry

a = 4.5876 Å, b = 4.5876 Å, c = 4.4661 Å
α = 90.00°, β = 90.00°, γ = 90.00°
Element x y z (fractional)
S1 0.0000 0.0000 0.5000
Co1 0.0000 0.0000 0.0000
Fe1 0.5000 0.5000 0.5000
Cl1 0.0000 0.5000 0.0000
Cl2 0.5000 0.0000 0.0000


Q:
FeCoSCl2 | PBE | optimized geometry

a = 4.7442 Å, b = 4.7442 Å, c = 4.5641 Å
α = 90.00°, β = 90.00°, γ = 90.00°
Element x y z (fractional)
S1 0.0000 0.0000 0.5000
Co1 0.5000 0.5000 0.5000
Fe1 0.0000 0.0000 0.0000
Cl1 0.0000 0.5000 0.0000
Cl2 0.5000 0.0000 0.0000


Stability, highest: P


P:
Ga3CoCl | PBE | optimized geometry

a = 5.2120 Å, b = 5.2120 Å, c = 5.2120 Å
α = 90.00°, β = 90.00°, γ = 90.00°
Element x y z (fractional)
Co1 0.5000 0.5000 0.5000
Ga1 0.0000 0.5000 0.0000
Ga2 0.0000 0.0000 0.5000
Ga3 0.5000 0.0000 0.0000
Cl1 0.0000 0.0000 0.0000


Q:
Ga3CoCl | PBE | optimized geometry

a = 4.6315 Å, b = 4.6315 Å, c = 4.6315 Å
α = 90.00°, β = 90.00°, γ = 90.00°
Element x y z (fractional)
Co1 0.0000 0.0000 0.0000
Ga1 0.0000 0.5000 0.0000
Ga2 0.0000 0.0000 0.5000
Ga3 0.5000 0.0000 0.0000
Cl1 0.5000 0.5000 0.5000


Stability, highest: Q


P:
GaCoCl2 | PBE | optimized geometry

a = 4.7852 Å, b = 4.7852 Å, c = 4.7852 Å
α = 60.00°, β = 60.00°, γ = 60.00°
Element x y z (fractional)
Co1 0.0000 0.0000 0.0000
Ga1 0.5000 0.5000 0.5000
Cl1 0.2500 0.2500 0.2500
Cl2 0.7500 0.7500 0.7500


Q:
GaCoCl2 | PBE | optimized geometry

a = 8.4203 Å, b = 8.4203 Å, c = 6.4788 Å
α = 49.47°, β = 49.47°, γ = 90.00°
Element x y z (fractional)
Co1 0.5000 0.5000 0.0000
Co2 0.2500 0.7500 0.5000
Ga1 0.0000 0.0000 0.0000
Ga2 0.7500 0.2500 0.5000
Cl1 0.4762 0.1250 0.2500
Cl2 0.2738 0.6250 0.2500
Cl3 0.3750 0.5238 0.7500
Cl4 0.8750 0.7262 0.7500


Stability, highest: Q


P:
GaCo3Cl | PBE | optimized geometry

a = 4.1396 Å, b = 4.1396 Å, c = 4.1396 Å
α = 90.00°, β = 90.00°, γ = 90.00°
Element x y z (fractional)
Co1 0.0000 0.5000 0.0000
Co2 0.0000 0.0000 0.5000
Co3 0.5000 0.0000 0.0000
Ga1 0.5000 0.5000 0.5000
Cl1 0.0000 0.0000 0.0000


Q:
GaCo3Cl | PBE | optimized geometry

a = 4.4891 Å, b = 4.4891 Å, c = 4.4891 Å
α = 90.00°, β = 90.00°, γ = 90.00°
Element x y z (fractional)
Co1 0.0000 0.5000 0.0000
Co2 0.0000 0.0000 0.5000
Co3 0.5000 0.0000 0.0000
Ga1 0.0000 0.0000 0.0000
Cl1 0.5000 0.5000 0.5000


Stability, highest: P


P:
In2GaCoCl | PBE | optimized geometry

a = 5.0334 Å, b = 5.0334 Å, c = 4.5631 Å
α = 90.00°, β = 90.00°, γ = 90.00°
Element x y z (fractional)
Cl1 0.5000 0.5000 0.5000
Co1 0.0000 0.0000 0.0000
Ga1 0.0000 0.0000 0.5000
In1 0.0000 0.5000 0.0000
In2 0.5000 0.0000 0.0000


Q:
In2GaCoCl | PBE | optimized geometry

a = 5.7826 Å, b = 4.0549 Å, c = 5.7826 Å
α = 90.00°, β = 90.00°, γ = 90.00°
Element x y z (fractional)
Cl1 0.0000 0.0000 0.0000
Co1 0.0000 0.5000 0.0000
Ga1 0.5000 0.5000 0.5000
In1 0.0000 0.0000 0.5000
In2 0.5000 0.0000 0.0000


Stability, highest: P


P:
InGa2CoCl | PBE | optimized geometry

a = 5.4427 Å, b = 4.0686 Å, c = 5.4427 Å
α = 90.00°, β = 90.00°, γ = 90.00°
Element x y z (fractional)
Cl1 0.0000 0.0000 0.0000
Co1 0.0000 0.5000 0.0000
Ga1 0.0000 0.0000 0.5000
Ga2 0.5000 0.0000 0.0000
In1 0.5000 0.5000 0.5000


Q:
InGa2CoCl | PBE | optimized geometry

a = 4.5992 Å, b = 4.5992 Å, c = 5.0756 Å
α = 90.00°, β = 90.00°, γ = 90.00°
Element x y z (fractional)
Cl1 0.5000 0.5000 0.5000
Co1 0.0000 0.0000 0.0000
Ga1 0.0000 0.5000 0.0000
Ga2 0.5000 0.0000 0.0000
In1 0.0000 0.0000 0.5000


Stability, highest: Q